Computed, not measured: a relaxed structure of Sm2In9Hg at the PBE level of DFT.

Cell: 4.6464 4.6464 14.5550 Å, 90.00 90.00 90.00°
Atoms (fractional coordinates):
In 0.5000 0.5000 0.6615
In 0.5000 0.0000 0.8295
In 0.5000 0.5000 0.0000
In 0.5000 0.5000 0.3385
In 0.5000 0.0000 0.1705
Sm 0.0000 0.0000 0.6602
Sm 0.0000 0.0000 0.3398
In 0.0000 0.5000 0.8295
In 0.0000 0.5000 0.1705
Hg 0.0000 0.0000 0.0000
In 0.0000 0.5000 0.5000
In 0.5000 0.0000 0.5000

For the uncorrected energy, the calculation gives -3.130 eV per atom.